BaPdAu3, single point on PBEsol structure, DFT SCAN; final energy = -54.81 eV per atom; volume = 194.42 Å³/cell
1.0
5.7932 0.0000 0.0000
0.0000 5.7932 0.0000
0.0000 0.0000 5.7932
Ba Pd Au
1 1 3
Direct
0.0000 0.0000 0.0000
0.5000 0.5000 0.5000
0.0000 0.0000 0.5000
0.0000 0.5000 0.0000
0.5000 0.0000 0.0000